DFT (GGA-PBE) results for a geometry-optimized Tl7Hg4Sb structure.

The formation energy (no corrections) comes out at 32 meV/atom. The value obtained for the spin magnetization is 0.0 Bohr magnetons per cell. For the density of states at the Fermi level, the calculation gives 6.38 states/eV/f.u. Its excess energy over the best structure of this formula in the dataset is 35 meV per atom.

It has space group C2/m (No. 12), with a = 13.744 Å, b = 6.416 Å, c = 9.995 Å, α = 90.00°, β = 121.30° and γ = 90.00°. The distinct sites, in fractional coordinates, are Tl at (0.000, 0.000, 0.000), Tl at (0.003, 0.500, 0.332), Tl at (0.243, 0.500, 0.013), Tl at (0.244, 0.000, 0.639), Hg at (0.009, 0.000, 0.671), Hg at (0.246, 0.500, 0.682) and Sb at (0.000, 0.500, 0.000).



DFT (GGA-PBE) results for a geometry-optimized YIr2Cl structure.

The formation energy (no corrections) comes out at 133 meV/atom. The value obtained for the spin magnetization is 0.0 Bohr magnetons per cell. For the density of states at the Fermi level, the calculation gives 2.71 states/eV/f.u. Its excess energy over the best structure of this formula in the dataset is 686 meV per atom.

It has space group Cmmm (No. 65), with a = 4.988 Å, b = 10.089 Å, c = 3.174 Å, α = 90.00°, β = 90.00° and γ = 90.00°. The distinct sites, in fractional coordinates, are Y at (0.000, 0.000, 0.000), Ir at (0.250, 0.250, 0.500) and Cl at (0.000, 0.500, 0.000).



DFT (GGA-PBE) results for a geometry-optimized SrMg3Br structure.

The formation energy (no corrections) comes out at 574 meV/atom. The value obtained for the spin magnetization is 0.0 Bohr magnetons per cell. For the density of states at the Fermi level, the calculation gives 2.86 states/eV/f.u. Its excess energy over the best structure of this formula in the dataset is 501 meV per atom.

It has space group Pm-3m (No. 221), with a = 6.804 Å, b = 6.804 Å, c = 6.804 Å, α = 90.00°, β = 90.00° and γ = 90.00°. The distinct sites, in fractional coordinates, are Sr at (0.000, 0.000, 0.000), Mg at (0.000, 0.000, 0.500) and Br at (0.500, 0.500, 0.500).



DFT (GGA-PBE) results for a geometry-optimized Pt2Rh structure.

The energy relative to the elements comes out at 14 kJ per mole of atoms. The value obtained for the spin magnetization is 1.0 Bohr magnetons per cell. For the density of states at the Fermi level, the calculation gives 5.96 states/eV/f.u.

It has space group P6/mmm (No. 191), with a = 4.4897 Å, b = 4.4897 Å, c = 2.6878 Å, α = 90.00°, β = 90.00° and γ = 120.00°. The distinct sites, in fractional coordinates, are Pt at (0.3333, 0.6667, 0.0000) and Rh at (0.0000, 0.0000, 0.5000).



Which of these has the highest spin magnetization?
Pt2Rh